Entry 1:
Compound: PmYAgPd
Source: Alexandria
Functional: PBE-GGA
Structure: relaxed

a b c (Å): 3.609 3.609 7.313
angles (deg): 90.00 90.00 90.00
Positions (direct):
1 Y 0.500 0.500 0.596
2 Pd 0.000 0.000 0.368
3 Pm 0.500 0.500 0.118
4 Ag 0.000 0.000 0.846

Calculated values
Polymorph energy (0 for the lowest one): 0 kJ/mol of formula units
Symmetry: P4mm (99)
ΔE_f: -0.555 eV/atom


Entry 2:
Compound: LiSmSc2Au4
Source: Alexandria
Functional: PBE-GGA
Structure: relaxed

a b c (Å): 4.760 4.760 8.762
angles (deg): 74.24 74.24 60.00
Positions (direct):
1 Sm 0.000 0.000 0.000
2 Li 0.500 0.500 0.500
3 Au 0.876 0.876 0.373
4 Sc 0.239 0.239 0.283
5 Au 0.393 0.393 0.820
6 Au 0.607 0.607 0.180
7 Sc 0.761 0.761 0.717
8 Au 0.124 0.124 0.627

Calculated values
Symmetry: R-3m (166)
ΔE_f: -0.724 eV/atom


Entry 3:
Compound: TaCr2Sb
Source: Alexandria
Functional: PBE-GGA
Structure: relaxed

a b c (Å): 4.344 3.033 5.106
angles (deg): 89.28 90.00 90.00
Positions (direct):
1 Cr 0.000 0.112 0.945
2 Sb 0.500 0.250 0.250
3 Cr 0.000 0.388 0.555
4 Ta 0.500 0.750 0.750

Calculated values
Polymorph energy (0 for the lowest one): 94 kJ/mol of formula units
Symmetry: P2/m (10)
Formation energy (no corrections): 354.4 meV per atom


no.,density of states at the Fermi level (states/eV per cell)
1,3.937
2,3.572
3,4.752